# 1
Entry from Alexandria: a relaxed Al2GaAu7 crystal (PBE-GGA).

Summary:
Energy of formation   -0.1987 eV/atom
Final energy   -3.54 eV/atom
Density   13.9 Mg/m³
N(E_F)   9.4 states/eV/cell

Unit cell a=13.588 b=5.415 c=10.734 alpha=90.00 beta=114.55 gamma=90.00
Space group C2/c (No. 15)
Asymmetric unit:
1 Al 0.207 0.080 0.305 x8
2 Ga 0.000 0.418 0.250 x4
3 Au 0.000 0.086 0.750 x4
4 Au 0.092 0.312 0.072 x8
5 Au 0.130 0.193 0.499 x8
6 Au 0.194 0.381 0.860 x8

---

# 2
Entry from Alexandria: a relaxed Ge2Os2N crystal (PBE-GGA).

Summary:
Final energy   -6.94 eV/atom
Density   12.4 Mg/m³
N(E_F)   6.2 states/eV/cell

Unit cell a=6.905 b=6.905 c=3.023 alpha=90.00 beta=90.00 gamma=90.00
Space group P4/mbm (No. 127)
Asymmetric unit:
1 Ge 0.146 0.354 0.000 x4
2 Os 0.153 0.653 0.500 x4
3 N 0.000 0.000 0.500 x2

---

# 3
Entry from Alexandria: a relaxed BeH crystal (PBE-GGA).

Summary:
Final energy   -3.30 eV/atom
Density   0.9 Mg/m³

Unit cell a=5.890 b=5.890 c=4.124 alpha=90.00 beta=90.00 gamma=90.00
Space group I4/mmm (No. 139)
Asymmetric unit:
1 Be 0.000 0.327 0.000 x8
2 H 0.200 0.200 0.000 x8